# 1
# Be2Au, relaxed, DFT PBEsol
# - Crystal system: trigonal
# - Fermi-level density of states: 0.99 states/eV/f.u.
# - Calculated formation energy: 231 meV/atom
# - Electronic total energy: -3.7440 eV/atom
data_Be2Au
_space_group_name_H-M_alt 'P -3 m 1'
_space_group_IT_number 164
_space_group_name_Hall '-P 3 2"'
_cell_length_a 2.7158
_cell_length_b 2.7158
_cell_length_c 5.7067
_cell_angle_alpha 90.00
_cell_angle_beta 90.00
_cell_angle_gamma 120.00
loop_
_atom_site_label
_atom_site_fract_x
_atom_site_fract_y
_atom_site_fract_z
Be1 0.3333 0.6667 0.3516
Au1 0.0000 0.0000 0.0000


# 2
# FeWN2F, relaxed, DFT PBEsol
# - Crystal system: tetragonal
# - ΔE_f (raw): 0.64 eV/atom
# - Fermi-level density of states: 4.72 states/eV/f.u.
# - Electronic total energy: -7.7097 eV/atom
data_FeWN2F
_space_group_name_H-M_alt 'P 4/m m m'
_space_group_IT_number 123
_space_group_name_Hall '-P 4 2'
_cell_length_a 3.694
_cell_length_b 3.694
_cell_length_c 3.491
_cell_angle_alpha 90.00
_cell_angle_beta 90.00
_cell_angle_gamma 90.00
loop_
_atom_site_label
_atom_site_fract_x
_atom_site_fract_y
_atom_site_fract_z
Fe1 0.000 0.000 0.000
W1 0.500 0.500 0.500
N1 0.000 0.500 0.000
F1 0.000 0.000 0.500


# 3
# Ca2Ti6N2O11, relaxed, DFT PBEsol
# - Crystal system: triclinic
# - ΔE_f (raw): -2.80 eV/atom
# - Fermi-level density of states: 0.00 states/eV/f.u.
# - Electronic total energy: -8.9385 eV/atom
data_Ca2Ti6N2O11
_space_group_name_H-M_alt 'P 1'
_space_group_IT_number 1
_space_group_name_Hall 'P 1'
_cell_length_a 3.740
_cell_length_b 7.599
_cell_length_c 9.427
_cell_angle_alpha 100.41
_cell_angle_beta 90.03
_cell_angle_gamma 104.18
loop_
_atom_site_label
_atom_site_fract_x
_atom_site_fract_y
_atom_site_fract_z
Ca1 0.000 0.000 0.000
Ca2 0.078 0.162 0.539
Ti1 0.306 0.616 0.050
Ti2 0.363 0.731 0.376
Ti3 0.416 0.837 0.700
Ti4 0.656 0.315 0.877
Ti5 0.690 0.384 0.240
Ti6 0.765 0.534 0.554
N1 0.465 0.936 0.532
N2 0.822 0.649 0.390
O1 0.170 0.344 0.919
O2 0.226 0.455 0.230
O3 0.281 0.565 0.575
O4 0.375 0.755 0.917
O5 0.403 0.816 0.204
O6 0.529 0.062 0.830
O7 0.588 0.178 0.103
O8 0.647 0.296 0.414
O9 0.673 0.349 0.693
O10 0.768 0.540 0.049
O11 0.884 0.772 0.705


Question: electronic total energy of number 1 (Be2Au)?
Answer: -3.7440 eV/atom


Question: electronic total energy of number 2 (FeWN2F)?
Answer: -7.7097 eV/atom